(1)
The following is a PBE calculation of a relaxed structure of KAgOsO4, from the Alexandria database.

a b c (Å): 6.5788 6.5788 6.5788
angles (deg): 60.00 60.00 60.00
Fractional positions:
K 0.0000 0.0000 0.0000
Ag 0.7500 0.7500 0.7500
Os 0.5000 0.5000 0.5000
O 0.1626 0.6125 0.6125
O 0.6125 0.1626 0.6125
O 0.6125 0.6125 0.1626
O 0.6125 0.6125 0.6125

energy relative to the elements, uncorrected: -5.2 eV per formula unit
spin magnetization: 2.0 μB per formula unit
raw total energy: -5.747 eV per atom


(2)
The following is a PBE calculation of a relaxed structure of NbTeMo, from the Alexandria database.

a b c (Å): 3.3610 3.3610 12.0115
angles (deg): 90.00 90.00 120.00
Fractional positions:
Nb 0.0000 0.0000 0.0000
Nb 0.3333 0.6667 0.5000
Te 0.0000 0.0000 0.3294
Te 0.0000 0.0000 0.6706
Mo 0.3333 0.6667 0.1632
Mo 0.3333 0.6667 0.8368

energy relative to the elements, uncorrected: 0.8 eV per formula unit
spin magnetization: 0.0 μB per formula unit
raw total energy: -7.741 eV per atom


(3)
The following is a PBE calculation of a relaxed structure of SrTaNi2, from the Alexandria database.

a b c (Å): 5.9992 5.9992 5.9992
angles (deg): 41.54 41.54 41.54
Fractional positions:
Sr 0.0000 0.0000 0.0000
Ta 0.5000 0.5000 0.5000
Ni 0.1931 0.1931 0.1931
Ni 0.8069 0.8069 0.8069

spin magnetization: 0.0 μB per formula unit
raw total energy: -6.231 eV per atom
E above lowest polymorph: 63 meV per atom
energy of formation: 0.2 eV/f.u.


(4)
The following is a PBE calculation of a relaxed structure of Mg3Ag4Sn, from the Alexandria database.

a b c (Å): 10.0859 10.0859 5.5839
angles (deg): 104.78 104.78 17.41
Fractional positions:
Mg 0.0000 0.0000 0.0000
Mg 0.1358 0.1358 0.4012
Mg 0.8642 0.8642 0.5988
Ag 0.1282 0.1282 0.8936
Ag 0.2611 0.2611 0.7660
Ag 0.7389 0.7389 0.2340
Ag 0.8718 0.8718 0.1064
Sn 0.5000 0.5000 0.5000

spin magnetization: 0.0 μB per formula unit
raw total energy: -2.523 eV per atom
E above lowest polymorph: 175 meV per atom
energy of formation: 0.0 eV/f.u.